{"formula": "Al2P2H9NO11", "functional": "GGA-PBEsol", "state": "relaxed", "lattice": [[-3.846, -4.813, 7.277], [1.765, -8.181, -4.478], [9.276, 0.670, 2.433]], "species": ["H", "H", "H", "H", "H", "H", "H", "H", "H", "H", "H", "H", "H", "H", "H", "H", "H", "H", "H", "H", "H", "H", "H", "H", "H", "H", "H", "H", "H", "H", "H", "H", "H", "H", "H", "H", "O", "O", "O", "O", "O", "O", "O", "O", "O", "O", "O", "O", "O", "O", "O", "O", "O", "O", "O", "O", "O", "O", "O", "O", "O", "O", "O", "O", "O", "O", "O", "O", "O", "O", "O", "O", "O", "O", "O", "O", "O", "O", "O", "O", "P", "P", "P", "P", "P", "P", "P", "P", "Al", "Al", "Al", "Al", "Al", "Al", "Al", "Al", "N", "N", "N", "N"], "fractional_positions": [[0.059, 0.017, 0.895], [0.396, 0.537, 0.313], [0.900, 0.132, 0.588], [0.914, 0.859, 0.358], [0.600, 0.632, 0.912], [0.499, 0.269, 0.998], [0.770, 0.861, 0.119], [0.100, 0.868, 0.412], [0.270, 0.639, 0.619], [0.104, 0.037, 0.187], [0.010, 0.720, 0.331], [0.896, 0.963, 0.813], [0.941, 0.983, 0.105], [0.990, 0.280, 0.669], [0.230, 0.139, 0.881], [0.414, 0.641, 0.858], [0.490, 0.220, 0.169], [0.086, 0.141, 0.642], [0.999, 0.231, 0.498], [0.063, 0.296, 0.020], [0.729, 0.411, 0.540], [0.400, 0.368, 0.088], [0.586, 0.359, 0.142], [0.510, 0.780, 0.831], [0.229, 0.089, 0.040], [0.271, 0.589, 0.460], [0.604, 0.463, 0.687], [0.563, 0.204, 0.520], [0.437, 0.796, 0.480], [0.771, 0.911, 0.960], [0.001, 0.769, 0.502], [0.559, 0.483, 0.395], [0.501, 0.731, 0.002], [0.730, 0.361, 0.381], [0.441, 0.517, 0.605], [0.937, 0.704, 0.980], [0.172, 0.138, 0.955], [0.787, 0.387, 0.215], [0.287, 0.113, 0.715], [0.295, 0.205, 0.305], [0.205, 0.705, 0.195], [0.189, 0.868, 0.690], [0.955, 0.588, 0.202], [0.672, 0.362, 0.455], [0.213, 0.613, 0.785], [0.328, 0.638, 0.545], [0.705, 0.795, 0.695], [0.998, 0.363, 0.056], [0.777, 0.541, 0.704], [0.454, 0.776, 0.163], [0.046, 0.276, 0.337], [0.498, 0.137, 0.556], [0.497, 0.567, 0.350], [0.261, 0.328, 0.529], [0.761, 0.172, 0.029], [0.502, 0.863, 0.444], [0.003, 0.067, 0.150], [0.546, 0.224, 0.837], [0.811, 0.132, 0.310], [0.239, 0.479, 0.017], [0.997, 0.933, 0.850], [0.713, 0.887, 0.285], [0.954, 0.724, 0.663], [0.277, 0.959, 0.204], [0.828, 0.862, 0.045], [0.739, 0.672, 0.471], [0.723, 0.041, 0.796], [0.002, 0.637, 0.944], [0.689, 0.632, 0.190], [0.503, 0.433, 0.650], [0.761, 0.521, 0.983], [0.261, 0.979, 0.483], [0.311, 0.368, 0.810], [0.223, 0.459, 0.296], [0.795, 0.295, 0.805], [0.455, 0.912, 0.702], [0.739, 0.021, 0.517], [0.239, 0.828, 0.971], [0.045, 0.412, 0.798], [0.545, 0.088, 0.298], [0.701, 0.035, 0.351], [0.207, 0.314, 0.367], [0.293, 0.814, 0.133], [0.707, 0.186, 0.867], [0.201, 0.465, 0.851], [0.799, 0.535, 0.149], [0.793, 0.686, 0.633], [0.299, 0.965, 0.649], [0.397, 0.271, 0.685], [0.387, 0.040, 0.372], [0.603, 0.729, 0.315], [0.897, 0.229, 0.185], [0.113, 0.540, 0.128], [0.613, 0.960, 0.628], [0.103, 0.771, 0.815], [0.887, 0.460, 0.872], [0.991, 0.195, 0.599], [0.509, 0.695, 0.901], [0.491, 0.305, 0.099], [0.009, 0.805, 0.401]], "magmom_total_mub_per_atom": 0.00, "mass_density_g_cm3": 2.5, "total_energy_ev_per_atom": -6.392, "spacegroup": "P2_1/c"}